# LiBiPt

A relaxed LiBiPt crystal (PBE-GGA, Alexandria via LeMat-Bulk).

The structure belongs to space group P3m1 (No. 156); the cell edges are 4.4836, 4.4836 and 3.3030 Å and the angles 90.00°, 90.00° and 120.00°. The inequivalent atoms are Li at (0.0000, 0.0000, 0.0000), Bi at (0.3333, 0.6667, 0.4987) and Pt at (0.6667, 0.3333, 0.9965).

The energy relative to the lowest polymorph listed for this composition comes out at 135 meV/atom. The calculation puts the total energy at -4.254 eV/atom.

---

# LiBi2Pt

A relaxed LiBi2Pt crystal (PBE-GGA, Alexandria via LeMat-Bulk).

The structure belongs to space group P4/mmm (No. 123); the cell edges are 4.8007, 4.8007 and 3.8373 Å and the angles 90.00°, 90.00° and 90.00°. The inequivalent atoms are Li at (0.0000, 0.0000, 0.0000), Bi at (0.0000, 0.5000, 0.5000) and Pt at (0.5000, 0.5000, 0.0000).

The calculation puts the total energy at -4.181 eV/atom.

---

# Li5Bi12Pt3

A relaxed Li5Bi12Pt3 crystal (PBE-GGA, Alexandria via LeMat-Bulk).

The structure belongs to space group Ia-3d (No. 230); the cell edges are 16.6400, 16.6400 and 16.6400 Å and the angles 90.00°, 90.00° and 90.00°. The inequivalent atoms are Li at (0.0000, 0.0000, 0.0000), Li at (0.0000, 0.2500, 0.3750), Bi at (0.0199, 0.0835, 0.6510) and Pt at (0.0000, 0.2500, 0.1250).

The calculation puts the total energy at -3.740 eV/atom.

---

# LiBi12Pt7

A relaxed LiBi12Pt7 crystal (PBE-GGA, Alexandria via LeMat-Bulk).

The structure belongs to space group R-3 (No. 148, hexagonal axes); the cell edges are 12.8836, 12.8836 and 10.9771 Å and the angles 90.00°, 90.00° and 120.00°. The inequivalent atoms are Li at (0.0000, 0.0000, 0.0000), Bi at (0.0441, 0.8461, 0.3574), Bi at (0.0452, 0.4571, 0.6484), Pt at (0.0000, 0.0000, 0.5000) and Pt at (0.0336, 0.8897, 0.8143).

The calculation puts the total energy at -4.680 eV/atom.

---

# LiBi2Pt

A relaxed LiBi2Pt crystal (PBE-GGA, Alexandria via LeMat-Bulk).

The structure belongs to space group I-42d (No. 122); the cell edges are 9.3497, 9.3497 and 4.9985 Å and the angles 90.00°, 90.00° and 90.00°. The inequivalent atoms are Li at (0.0000, 0.0000, 0.0000), Bi at (0.1400, 0.2500, 0.6250) and Pt at (0.0000, 0.0000, 0.5000).

The calculation puts the total energy at -4.167 eV/atom.

---

# LiBi4Pt

A relaxed LiBi4Pt crystal (PBE-GGA, Alexandria via LeMat-Bulk).

The structure belongs to space group I4/mcm (No. 140); the cell edges are 6.9016, 6.9016 and 13.1227 Å and the angles 90.00°, 90.00° and 90.00°. The inequivalent atoms are Li at (0.0000, 0.0000, 0.2500), Bi at (0.1650, 0.3350, 0.1204) and Pt at (0.0000, 0.0000, 0.0000).

The calculation puts the total energy at -4.109 eV/atom.

---

# Li8Bi2Pt

A relaxed Li8Bi2Pt crystal (PBE-GGA, Alexandria via LeMat-Bulk).

The structure belongs to space group Immm (No. 71); the cell edges are 4.6840, 6.3496 and 13.8572 Å and the angles 90.00°, 90.00° and 90.00°. The inequivalent atoms are Li at (0.0000, 0.0000, 0.1818), Li at (0.0000, 0.2426, 0.0000), Li at (0.0000, 0.2452, 0.3585), Bi at (0.0000, 0.5000, 0.1756) and Pt at (0.0000, 0.5000, 0.5000).

The calculation puts the total energy at -3.107 eV/atom.

---

# Li2BiPt

A relaxed Li2BiPt crystal (PBE-GGA, Alexandria via LeMat-Bulk).

The structure belongs to space group I-42d (No. 122); the cell edges are 7.6415, 7.6415 and 5.5165 Å and the angles 90.00°, 90.00° and 90.00°. The inequivalent atoms are Li at (0.2008, 0.7500, 0.1250), Bi at (0.0000, 0.0000, 0.5000) and Pt at (0.0000, 0.0000, 0.0000).

The calculation puts the total energy at -3.638 eV/atom.

---

# Li2BiPt

A relaxed Li2BiPt crystal (PBE-GGA, Alexandria via LeMat-Bulk).

The structure belongs to space group P4/mmm (No. 123); the cell edges are 4.1166, 4.1166 and 4.2009 Å and the angles 90.00°, 90.00° and 90.00°. The inequivalent atoms are Li at (0.0000, 0.5000, 0.0000), Bi at (0.0000, 0.0000, 0.5000) and Pt at (0.5000, 0.5000, 0.5000).

The calculation puts the total energy at -3.878 eV/atom.

---

# LiBi2Pt

A relaxed LiBi2Pt crystal (PBE-GGA, Alexandria via LeMat-Bulk).

The structure belongs to space group R3m (No. 160, hexagonal axes); the cell edges are 4.4504, 4.4504 and 17.7220 Å and the angles 90.00°, 90.00° and 120.00°. The inequivalent atoms are Li at (0.0000, 0.0000, 0.0000), Bi at (0.0000, 0.0000, 0.5632), Bi at (0.0000, 0.0000, 0.7570) and Pt at (0.0000, 0.0000, 0.1576).

The calculation puts the total energy at -4.243 eV/atom.

---

# Li12Bi5Pt3

A relaxed Li12Bi5Pt3 crystal (PBE-GGA, Alexandria via LeMat-Bulk).

The structure belongs to space group Ia-3d (No. 230); the cell edges are 15.3587, 15.3587 and 15.3587 Å and the angles 90.00°, 90.00° and 90.00°. The inequivalent atoms are Li at (0.0090, 0.0921, 0.6531), Bi at (0.0000, 0.0000, 0.0000), Bi at (0.0000, 0.2500, 0.3750) and Pt at (0.0000, 0.2500, 0.1250).

The calculation puts the total energy at -3.007 eV/atom.

---

# LiBiPt2

A relaxed LiBiPt2 crystal (PBE-GGA, Alexandria via LeMat-Bulk).

The structure belongs to space group P4/mmm (No. 123); the cell edges are 3.5115, 3.5115 and 5.8081 Å and the angles 90.00°, 90.00° and 90.00°. The inequivalent atoms are Li at (0.0000, 0.0000, 0.0000), Bi at (0.0000, 0.0000, 0.5000) and Pt at (0.5000, 0.5000, 0.2301).

The calculation puts the total energy at -4.769 eV/atom.

---

| no. | M_tot (Bohr magnetons per cell) | energy of formation from the pure elements (eV per formula unit) | N(E_F) (states/eV per atom) |
| --- | --- | --- | --- |
| 1 | 0.0 | -0.93 | 0.3701 |
| 2 | 0.0 | -1.01 | 0.3641 |
| 3 | 0.0 | -0.53 | 0.7426 |
| 4 | 0.0 | -2.84 | 0.4847 |
| 5 | 0.0 | -0.95 | 0.4339 |
| 6 | 0.0 | -1.18 | 0.2956 |
| 7 | 0.0 | -5.06 | 0.1418 |
| 8 | 0.0 | -0.80 | 0.6350 |
| 9 | 0.0 | -1.76 | 0.4405 |
| 10 | 0.0 | -1.25 | 0.4051 |
| 11 | 0.0 | 0.35 | 0.7270 |
| 12 | 0.0 | -1.20 | 0.3043 |